DFT (PBE) results for a relaxed Si2TcPb crystal.

Unit cell a=4.687 b=4.687 c=3.347 alpha=89.79 beta=89.79 gamma=108.73
Fractional coordinates of all 4 atoms:
1 Pb 0.000 0.500 0.500
2 Si 0.000 0.000 0.000
3 Si 0.500 0.500 0.000
4 Tc 0.500 0.000 0.500

Results
The value obtained for the uncorrected formation energy is 666.5 meV/atom. The density of states at the Fermi level comes out at 2.34 states/eV/f.u. Its volume is 17.4 Å³/atom. The total energy is -5.564 eV/atom.